--- one ---
# LiTiP2O7

A relaxed LiTiP2O7 crystal (PBEsol, the Alexandria database).

Cell lengths 6.359, 6.359, 13.180 Å; angles 102.36, 100.80, 99.66 degrees
Each line ends with the local moment (μB).
Element x y z (fractional)
Li  0.972  0.583  0.346  0.00
Li  0.763  0.874  0.846  0.00
Li  0.237  0.126  0.154  0.00
Li  0.028  0.417  0.654  0.00
Ti  0.403  0.771  0.641  0.90
Ti  0.130  0.262  0.859  0.90
Ti  0.870  0.738  0.141  0.90
Ti  0.597  0.229  0.359  0.90
P  0.249  0.772  0.863  0.01
P  0.330  0.659  0.071  0.01
P  0.588  0.759  0.429  0.01
P  0.090  0.114  0.363  0.01
P  0.910  0.886  0.637  0.01
P  0.412  0.241  0.571  0.01
P  0.670  0.341  0.929  0.01
P  0.751  0.228  0.137  0.01
O  0.111  0.947  0.877  0.00
O  0.186  0.793  0.127  -0.01
O  0.070  0.734  0.623  0.00
O  0.099  0.543  0.813  0.00
O  0.544  0.914  0.358  -0.01
O  0.429  0.822  0.804  -0.01
O  0.383  0.776  0.978  0.00
O  0.400  0.695  0.481  0.00
O  0.214  0.419  0.019  0.00
O  0.555  0.686  0.142  -0.01
O  0.797  0.905  0.522  0.00
O  0.333  0.441  0.627  -0.01
O  0.019  0.126  0.696  -0.01
O  0.730  0.786  0.687  0.00
O  0.270  0.214  0.313  0.00
O  0.981  0.874  0.304  -0.01
O  0.667  0.559  0.373  -0.01
O  0.203  0.095  0.478  0.00
O  0.445  0.314  0.858  -0.01
O  0.786  0.581  0.981  0.00
O  0.600  0.305  0.519  0.00
O  0.617  0.224  0.022  0.00
O  0.571  0.178  0.196  -0.01
O  0.456  0.086  0.642  -0.01
O  0.901  0.457  0.187  0.00
O  0.930  0.266  0.377  0.00
O  0.814  0.207  0.873  -0.01
O  0.889  0.053  0.123  0.00

--- two ---
# LiTiP2O7

A relaxed LiTiP2O7 crystal (PBEsol, the Alexandria database).

Cell lengths 6.684, 8.167, 9.368 Å; angles 90.00, 106.54, 90.00 degrees
Each line ends with the local moment (μB).
Element x y z (fractional)
Li  0.214  0.116  0.561  0.00
Li  0.214  0.384  0.061  0.00
Li  0.786  0.616  0.939  0.00
Li  0.786  0.884  0.439  0.00
Ti  0.280  0.773  0.995  0.90
Ti  0.280  0.727  0.495  0.90
Ti  0.720  0.273  0.505  0.90
Ti  0.720  0.227  0.005  0.90
P  0.046  0.538  0.713  0.01
P  0.046  0.962  0.213  0.01
P  0.539  0.919  0.792  0.01
P  0.461  0.419  0.708  0.01
P  0.539  0.581  0.292  0.01
P  0.461  0.081  0.208  0.01
P  0.954  0.038  0.787  0.01
P  0.954  0.462  0.287  0.01
O  0.066  0.594  0.873  0.00
O  0.152  0.939  0.847  -0.01
O  0.067  0.676  0.609  0.00
O  0.228  0.402  0.726  0.00
O  0.066  0.906  0.373  0.00
O  0.152  0.561  0.347  -0.01
O  0.067  0.824  0.109  0.00
O  0.519  0.770  0.886  0.00
O  0.392  0.917  0.632  -0.01
O  0.228  0.098  0.226  0.00
O  0.527  0.082  0.865  -0.01
O  0.473  0.582  0.635  -0.01
O  0.608  0.417  0.868  -0.01
O  0.481  0.270  0.614  0.00
O  0.519  0.730  0.386  0.00
O  0.392  0.583  0.132  -0.01
O  0.527  0.418  0.365  -0.01
O  0.473  0.918  0.135  -0.01
O  0.772  0.902  0.774  0.00
O  0.608  0.083  0.368  -0.01
O  0.481  0.230  0.114  0.00
O  0.933  0.176  0.891  0.00
O  0.848  0.439  0.653  -0.01
O  0.934  0.094  0.627  0.00
O  0.772  0.598  0.274  0.00
O  0.933  0.324  0.391  0.00
O  0.848  0.061  0.153  -0.01
O  0.934  0.406  0.127  0.00

Name the most stable of them. one.

--- one ---
# LiVPO4

A relaxed LiVPO4 crystal (PBEsol, the Alexandria database).

Cell lengths 4.911, 7.050, 9.541 Å; angles 90.00, 90.00, 88.36 degrees
Each line ends with the local moment (μB).
Element x y z (fractional)
Li  0.213  0.986  0.178  0.00
Li  0.287  0.514  0.678  0.00
Li  0.713  0.486  0.322  0.00
Li  0.787  0.014  0.822  0.00
V  0.244  0.016  0.600  2.56
V  0.744  0.516  0.900  2.56
V  0.256  0.484  0.100  2.56
V  0.756  0.984  0.400  2.56
P  0.209  0.271  0.397  0.01
P  0.291  0.229  0.897  0.01
P  0.709  0.771  0.103  0.01
P  0.791  0.729  0.603  0.01
O  0.095  0.746  0.640  0.01
O  0.405  0.754  0.140  0.01
O  0.595  0.246  0.860  0.01
O  0.905  0.254  0.360  0.01
O  0.157  0.437  0.876  0.00
O  0.343  0.063  0.376  0.00
O  0.657  0.937  0.624  0.00
O  0.843  0.563  0.124  0.00
O  0.160  0.079  0.806  0.00
O  0.340  0.421  0.306  0.00
O  0.660  0.579  0.694  0.00
O  0.840  0.921  0.194  0.00
O  0.246  0.196  0.055  0.00
O  0.254  0.304  0.555  0.00
O  0.746  0.696  0.445  0.00
O  0.754  0.804  0.945  0.00

--- two ---
# LiVPO4

A relaxed LiVPO4 crystal (PBEsol, the Alexandria database).

Cell lengths 5.526, 6.398, 9.204 Å; angles 72.62, 79.24, 74.02 degrees
Each line ends with the local moment (μB).
Element x y z (fractional)
Li  0.831  0.367  0.860  0.00
Li  0.169  0.633  0.140  0.00
Li  0.303  0.466  0.766  0.00
Li  0.697  0.534  0.234  0.00
V  0.780  0.171  0.576  2.60
V  0.220  0.829  0.424  2.60
V  0.299  0.944  0.792  2.62
V  0.701  0.056  0.208  2.62
P  0.848  0.818  0.910  0.01
P  0.152  0.182  0.090  0.01
P  0.679  0.700  0.544  0.02
P  0.321  0.300  0.456  0.02
O  0.661  0.728  0.855  0.00
O  0.339  0.272  0.145  0.00
O  0.125  0.669  0.905  0.00
O  0.875  0.331  0.095  0.00
O  0.235  0.175  0.921  0.00
O  0.765  0.825  0.079  0.00
O  0.881  0.054  0.803  0.00
O  0.119  0.946  0.197  0.00
O  0.851  0.852  0.544  0.00
O  0.149  0.148  0.456  0.00
O  0.402  0.758  0.626  -0.01
O  0.598  0.242  0.374  -0.01
O  0.798  0.457  0.625  0.00
O  0.202  0.543  0.375  0.00
O  0.373  0.258  0.627  0.00
O  0.627  0.742  0.373  0.00

--- three ---
# LiVPO4

A relaxed LiVPO4 crystal (PBEsol, the Alexandria database).

Cell lengths 5.669, 5.673, 5.673 Å; angles 58.35, 60.02, 60.02 degrees
Each line ends with the local moment (μB).
Element x y z (fractional)
Li  0.500  0.000  0.500  0.00
Li  0.000  0.000  0.500  0.00
V  0.000  0.000  0.000  1.98
V  0.000  0.500  0.500  1.98
P  0.636  0.614  0.114  0.02
P  0.364  0.386  0.886  0.02
O  0.256  0.271  0.771  0.00
O  0.298  0.729  0.229  0.00
O  0.702  0.271  0.771  0.00
O  0.744  0.729  0.229  0.00
O  0.743  0.739  0.775  0.01
O  0.743  0.275  0.239  0.01
O  0.257  0.261  0.225  0.01
O  0.257  0.725  0.761  0.01

--- four ---
# LiVPO4

A relaxed LiVPO4 crystal (PBEsol, the Alexandria database).

Cell lengths 5.341, 5.341, 6.299 Å; angles 103.09, 103.09, 117.75 degrees
Each line ends with the local moment (μB).
Element x y z (fractional)
Li  0.053  0.947  0.000  0.00
Li  0.803  0.197  0.500  0.00
V  0.435  0.565  0.500  2.58
V  0.685  0.315  0.000  2.58
P  0.373  0.627  0.000  0.02
P  0.123  0.877  0.500  0.02
O  0.520  0.970  0.144  0.00
O  0.924  0.874  0.644  0.00
O  0.030  0.480  0.856  0.00
O  0.126  0.076  0.356  0.00
O  0.409  0.446  0.155  0.00
O  0.459  0.995  0.655  0.00
O  0.554  0.591  0.845  0.00
O  0.005  0.541  0.345  0.00

Name the most stable of them. three.